Entry 1:
Zr2Ga2Si | PBE | relaxed

Values from the calculation:
- polymorph energy (0 for the lowest one) (eV per atom) = 0.031
- raw formation energy (eV per formula unit) = -1.91
- symmetry = P4/mbm (127)

Cell and atoms, written as POSCAR:
```
Zr2Ga2Si
1.0
6.988 0.000 0.000
0.000 6.988 0.000
0.000 0.000 4.138
Zr Ga Si
4 4 2
direct
0.834 0.666 0.000
0.666 0.166 0.000
0.334 0.834 0.000
0.166 0.334 0.000
0.139 0.639 0.500
0.639 0.861 0.500
0.861 0.361 0.500
0.361 0.139 0.500
0.500 0.500 0.000
0.000 0.000 0.000
```

---

Entry 2:
Zr4GaSi | PBE | relaxed

Values from the calculation:
- raw formation energy (eV per formula unit) = -3.73
- symmetry = P4/mcc (124)

Cell and atoms, written as POSCAR:
```
Zr4GaSi
1.0
-0.458 2.239 -4.910
-6.632 -0.254 0.502
-0.022 6.055 2.763
Zr Si Ga
8 2 2
direct
0.500 0.652 0.160
0.500 0.348 0.840
0.500 0.840 0.652
0.000 0.840 0.348
0.000 0.160 0.652
0.000 0.348 0.160
0.000 0.652 0.840
0.500 0.160 0.348
0.750 0.500 0.500
0.250 0.500 0.500
0.250 0.000 0.000
0.750 0.000 0.000
```

---

Entry 3:
Zr3Ga2Si | PBE | relaxed

Values from the calculation:
- raw formation energy (eV per formula unit) = -3.76
- symmetry = Pnma (62)

Cell and atoms, written as POSCAR:
```
Zr3Ga2Si
1.0
-1.298 2.072 2.990
4.145 -7.152 6.756
9.598 5.741 0.189
Ga Zr Si
8 12 4
direct
0.250 0.801 0.989
0.250 0.991 0.310
0.250 0.509 0.810
0.750 0.009 0.690
0.750 0.301 0.511
0.750 0.199 0.011
0.750 0.491 0.190
0.250 0.699 0.489
0.250 0.119 0.545
0.250 0.381 0.045
0.750 0.561 0.616
0.250 0.789 0.719
0.250 0.061 0.884
0.750 0.289 0.781
0.750 0.619 0.955
0.750 0.939 0.116
0.250 0.439 0.384
0.750 0.211 0.281
0.750 0.881 0.455
0.250 0.711 0.219
0.750 0.874 0.871
0.750 0.626 0.371
0.250 0.126 0.129
0.250 0.374 0.629
```

---

Entry 4:
ZrGaSi | PBE | relaxed

Values from the calculation:
- raw formation energy (eV per formula unit) = -0.90
- symmetry = Cmcm (63)

Cell and atoms, written as POSCAR:
```
ZrGaSi
1.0
5.045 0.000 0.000
0.000 2.966 0.000
0.000 1.483 7.168
Ga Zr Si
2 2 2
direct
0.750 0.841 0.319
0.250 0.159 0.681
0.750 0.649 0.702
0.250 0.351 0.298
0.500 0.000 0.000
0.000 0.000 0.000
```

---

Entry 5:
ZrGaSi3 | PBE | relaxed

Values from the calculation:
- polymorph energy (0 for the lowest one) (eV per atom) = 0.127
- raw formation energy (eV per formula unit) = 4.23
- symmetry = Pm-3m (221)

Cell and atoms, written as POSCAR:
```
ZrGaSi3
1.0
4.672 0.000 0.000
0.000 4.672 0.000
0.000 0.000 4.672
Zr Si Ga
1 3 1
direct
0.500 0.500 0.500
0.500 0.000 0.000
0.000 0.000 0.500
0.000 0.500 0.000
0.000 0.000 0.000
```

---

Entry 6:
ZrGaSi3 | PBE | relaxed

Values from the calculation:
- polymorph energy (0 for the lowest one) (eV per atom) = 0.000
- raw formation energy (eV per formula unit) = 3.60
- symmetry = Pm-3m (221)

Cell and atoms, written as POSCAR:
```
ZrGaSi3
1.0
5.101 0.000 0.000
0.000 5.101 0.000
0.000 0.000 5.101
Zr Si Ga
1 3 1
direct
0.000 0.000 0.000
0.000 0.000 0.500
0.000 0.500 0.000
0.500 0.000 0.000
0.500 0.500 0.500
```

---

Entry 7:
ZrGaSi | PBE | relaxed

Values from the calculation:
- raw formation energy (eV per formula unit) = -1.78
- symmetry = Cmcm (63)

Cell and atoms, written as POSCAR:
```
ZrGaSi
1.0
3.763 0.000 0.000
0.000 3.697 -0.963
0.000 0.010 7.618
Ga Si Zr
2 2 2
direct
0.250 0.751 0.503
0.750 0.249 0.497
0.750 0.558 0.116
0.250 0.442 0.884
0.250 0.095 0.190
0.750 0.905 0.810
```

---

Entry 8:
Zr6Ga5Si | PBE | relaxed

Values from the calculation:
- raw formation energy (eV per formula unit) = -4.69
- symmetry = C2/m (12)

Cell and atoms, written as POSCAR:
```
Zr6Ga5Si
1.0
6.737 0.166 0.000
2.056 6.425 0.000
1.028 3.212 5.793
Zr Ga Si
6 5 1
direct
0.242 0.595 0.325
0.244 0.242 0.000
0.756 0.758 0.000
0.758 0.080 0.325
0.242 0.920 0.675
0.758 0.405 0.675
0.000 0.335 0.331
0.500 0.829 0.342
0.500 0.171 0.658
0.000 0.665 0.669
0.500 0.500 0.000
0.000 0.000 0.000
```

---

Entry 9:
ZrGa2Si2 | PBE | relaxed

Values from the calculation:
- polymorph energy (0 for the lowest one) (eV per atom) = 0.135
- raw formation energy (eV per formula unit) = 0.05
- symmetry = P4/mbm (127)

Cell and atoms, written as POSCAR:
```
ZrGa2Si2
1.0
7.078 0.000 0.000
0.000 7.078 0.000
0.000 0.000 3.440
Si Ga Zr
4 4 2
direct
0.669 0.831 0.500
0.169 0.669 0.500
0.831 0.331 0.500
0.331 0.169 0.500
0.128 0.372 0.000
0.872 0.628 0.000
0.628 0.128 0.000
0.372 0.872 0.000
0.500 0.500 0.000
0.000 0.000 0.000
```

---

Entry 10:
ZrGa2Si2 | PBE | relaxed

Values from the calculation:
- polymorph energy (0 for the lowest one) (eV per atom) = 0.000
- raw formation energy (eV per formula unit) = -0.62
- symmetry = P4/mbm (127)

Cell and atoms, written as POSCAR:
```
ZrGa2Si2
1.0
6.959 0.000 0.000
0.000 6.959 0.000
0.000 0.000 3.577
Ga Si Zr
4 4 2
direct
0.329 0.171 0.500
0.171 0.671 0.500
0.671 0.829 0.500
0.829 0.329 0.500
0.125 0.375 0.000
0.625 0.125 0.000
0.875 0.625 0.000
0.375 0.875 0.000
0.000 0.000 0.000
0.500 0.500 0.000
```

---

Entry 11:
SmGa3 | PBE | relaxed

Values from the calculation:
- final energy (eV per atom) = -4.02
- symmetry = P6_3/mmc (194)

Cell and atoms, written as POSCAR:
```
SmGa3
1.0
6.383 0.000 0.000
-3.192 5.528 0.000
0.000 0.000 4.599
Sm Ga
2 6
direct
0.667 0.333 0.250
0.333 0.667 0.750
0.711 0.856 0.250
0.856 0.144 0.750
0.144 0.289 0.250
0.144 0.856 0.250
0.289 0.144 0.750
0.856 0.711 0.750
```

---

Entry 12:
Sm3Ga2 | PBE | relaxed

Values from the calculation:
- final energy (eV per atom) = -4.55
- symmetry = I4/mcm (140)

Cell and atoms, written as POSCAR:
```
Sm3Ga2
1.0
11.340 -0.013 0.000
-1.078 11.289 0.000
-5.131 -5.638 8.396
Ga Sm
16 24
direct
0.250 0.250 0.000
0.884 0.384 0.268
0.116 0.616 0.732
0.476 0.976 0.857
0.024 0.881 0.500
0.381 0.524 0.500
0.384 0.116 0.500
0.500 0.500 0.000
0.750 0.750 0.000
0.881 0.381 0.857
0.524 0.024 0.143
0.616 0.884 0.500
0.000 0.000 0.000
0.119 0.619 0.143
0.619 0.476 0.500
0.976 0.119 0.500
0.168 0.332 0.500
0.832 0.668 0.500
0.934 0.067 0.732
0.835 0.567 0.133
0.066 0.933 0.268
0.298 0.165 0.732
0.702 0.835 0.268
0.434 0.702 0.867
0.433 0.566 0.268
0.148 0.648 0.500
0.335 0.202 0.268
0.165 0.433 0.867
0.067 0.335 0.133
0.567 0.434 0.732
0.933 0.665 0.867
0.202 0.934 0.867
0.668 0.168 0.835
0.852 0.352 0.500
0.665 0.798 0.732
0.332 0.832 0.165
0.798 0.066 0.133
0.648 0.148 0.500
0.566 0.298 0.133
0.352 0.852 0.500
```

---

Entry 13:
SmGa3 | PBE | relaxed

Values from the calculation:
- final energy (eV per atom) = -3.62
- symmetry = I4/mmm (139)

Cell and atoms, written as POSCAR:
```
SmGa3
1.0
4.140 0.000 0.000
0.000 4.140 0.000
-2.070 -2.070 5.600
Ga Sm
3 1
direct
0.278 0.278 0.557
0.722 0.722 0.443
0.500 0.500 0.000
0.000 0.000 0.000
```

---

Entry 14:
Sm5Ga3 | PBE | relaxed

Values from the calculation:
- polymorph energy (0 for the lowest one) (eV per atom) = 0.000
- symmetry = P4/ncc (130)

Cell and atoms, written as POSCAR:
```
Sm5Ga3
1.0
7.776 0.000 0.000
0.000 7.776 0.000
0.000 0.000 14.494
Ga Sm
12 20
direct
0.500 0.000 0.507
0.000 0.500 0.493
0.120 0.120 0.750
0.620 0.380 0.750
0.880 0.120 0.250
0.620 0.620 0.250
0.000 0.500 0.993
0.380 0.620 0.750
0.500 0.000 0.007
0.120 0.880 0.250
0.880 0.880 0.750
0.380 0.380 0.250
0.343 0.314 0.897
0.186 0.157 0.397
0.686 0.343 0.103
0.000 0.500 0.779
0.000 0.500 0.279
0.343 0.686 0.397
0.157 0.186 0.103
0.814 0.157 0.897
0.686 0.657 0.603
0.657 0.686 0.897
0.500 0.000 0.221
0.186 0.843 0.897
0.314 0.343 0.603
0.843 0.186 0.603
0.157 0.814 0.603
0.500 0.000 0.721
0.657 0.314 0.397
0.843 0.814 0.103
0.314 0.657 0.103
0.814 0.843 0.397
```

---

Entry 15:
Sm5Ga2 | PBE | relaxed

Values from the calculation:
- polymorph energy (0 for the lowest one) (eV per atom) = 0.011
- symmetry = Ibam (72)

Cell and atoms, written as POSCAR:
```
Sm5Ga2
1.0
-3.416 -1.471 -5.447
4.375 -6.661 -0.946
-5.345 0.292 7.268
Ga Sm
4 10
direct
0.373 0.644 0.747
0.873 0.103 0.747
0.127 0.897 0.253
0.627 0.356 0.253
0.079 0.237 0.157
0.987 0.737 0.474
0.513 0.263 0.526
0.013 0.263 0.526
0.421 0.079 0.843
0.250 0.500 0.000
0.487 0.737 0.474
0.579 0.921 0.157
0.921 0.763 0.843
0.750 0.500 0.000
```

---

Entry 16:
Sm5Ga3 | PBE | relaxed

Values from the calculation:
- polymorph energy (0 for the lowest one) (eV per atom) = 0.011
- symmetry = I4/mcm (140)

Cell and atoms, written as POSCAR:
```
Sm5Ga3
1.0
9.130 0.056 0.000
2.508 8.779 0.000
-5.819 -4.418 5.476
Sm Ga
10 6
direct
0.525 0.025 0.846
0.975 0.821 0.500
0.000 0.000 0.000
0.321 0.475 0.500
0.500 0.500 0.000
0.179 0.679 0.154
0.821 0.321 0.846
0.679 0.525 0.500
0.475 0.975 0.154
0.025 0.179 0.500
0.750 0.750 0.000
0.619 0.881 0.500
0.119 0.619 0.737
0.381 0.119 0.500
0.881 0.381 0.263
0.250 0.250 0.000
```

---

Entry 17:
Sm5Ga4 | PBE | relaxed

Values from the calculation:
- final energy (eV per atom) = -4.51
- symmetry = C2/m (12)

Cell and atoms, written as POSCAR:
```
Sm5Ga4
1.0
-4.217 -0.584 1.555
-2.617 -4.891 -2.328
1.099 -6.698 7.069
Ga Sm
4 5
direct
0.549 0.733 0.169
0.614 0.384 0.389
0.451 0.267 0.831
0.386 0.616 0.611
0.104 0.185 0.607
0.896 0.815 0.393
0.757 0.659 0.826
0.243 0.341 0.174
0.000 0.000 0.000
```

---

Entry 18:
SmGa2 | PBE | relaxed

Values from the calculation:
- final energy (eV per atom) = -4.26
- symmetry = I4_1/amd (141)

Cell and atoms, written as POSCAR:
```
SmGa2
1.0
-1.576 -2.083 3.330
-3.077 -1.575 -2.442
6.600 -4.002 -2.068
Ga Sm
4 2
direct
0.333 0.833 0.666
0.167 0.667 0.334
0.417 0.417 0.834
0.583 0.583 0.166
0.000 0.000 0.000
0.750 0.250 0.500
```

---

Entry 19:
Sm3Ga11 | PBE | relaxed

Values from the calculation:
- final energy (eV per atom) = -3.86
- symmetry = Immm (71)

Cell and atoms, written as POSCAR:
```
Sm3Ga11
1.0
4.087 0.000 1.145
1.342 7.803 3.077
-0.169 -0.653 8.468
Ga Sm
11 3
direct
0.665 0.959 0.710
0.500 0.720 0.280
0.145 0.583 0.127
0.665 0.710 0.959
0.335 0.290 0.041
0.500 0.280 0.720
0.000 0.500 0.500
0.855 0.417 0.873
0.335 0.041 0.290
0.855 0.873 0.417
0.145 0.127 0.583
0.000 0.000 0.000
0.324 0.676 0.676
0.676 0.324 0.324
```

---

Entry 20:
Sm3Ga2 | PBE | relaxed

Values from the calculation:
- final energy (eV per atom) = -4.47
- symmetry = I4/mmm (139)

Cell and atoms, written as POSCAR:
```
Sm3Ga2
1.0
3.509 0.002 0.000
-0.002 3.509 0.000
-1.754 -1.756 10.777
Ga Sm
2 3
direct
0.093 0.593 0.186
0.907 0.407 0.814
0.500 0.000 0.000
0.683 0.183 0.365
0.317 0.817 0.635
```